VASP calculation (GGA-PBE) on a relaxed La3Mg9Cd2 crystal.

Values from the calculation:
Its crystal system is orthorhombic. Its formation energy is -112 meV/atom. The density of states at the Fermi level is 0.85 states/eV/atom. The calculation puts the total energy at -2.32 eV/atom.

Cell: 5.108 10.113 14.409 Å, 90.00 90.00 90.00°
Space group Immm (No. 71)
Unique sites:
La 0.000 0.000 0.000
La 0.000 0.000 0.288
Mg 0.000 0.289 0.141
Mg 0.000 0.357 0.349
Mg 0.000 0.500 0.000
Cd 0.000 0.164 0.500